VASP calculation (PBE) on crystalline Pm3IrO6F2 at its relaxed geometry.

CIF file:
```
data_Pm3IrO6F2
_chemical_formula_sum 'Pm6 Ir2 O12 F4'
_cell_length_a 11.387
_cell_length_b 6.699
_cell_length_c 5.001
_cell_angle_alpha 90.00
_cell_angle_beta 92.93
_cell_angle_gamma 90.00
_symmetry_space_group_name_H-M 'C 1 2/m 1'
_symmetry_Int_Tables_number 12
loop_
_symmetry_equiv_pos_as_xyz
'x,y,z'
'-x,-y,-z'
'-x,y,-z'
'x,-y,z'
'x+1/2,y+1/2,z'
'-x+1/2,-y+1/2,-z'
'-x+1/2,y+1/2,-z'
'x+1/2,-y+1/2,z'
loop_
_atom_site_label
_atom_site_type_symbol
_atom_site_fract_x
_atom_site_fract_y
_atom_site_fract_z
_atom_site_occupancy
Pm1 Pm 0.000 0.000 0.000 1
Pm2 Pm 0.250 0.250 0.500 1
Ir1 Ir 0.000 0.500 0.500 1
O1 O 0.065 0.269 0.283 1
O2 O 0.156 0.500 0.710 1
F1 F 0.176 0.000 0.776 1
```

***

# PBE FeReGeW2, optimized geometry
# - formation enthalpy at 0 K (kJ/mol of atoms) = 181.6
data_FeReGeW2
_chemical_formula_sum 'Fe1 Re1 Ge1 W2'
_cell_length_a 4.782
_cell_length_b 4.782
_cell_length_c 4.575
_cell_angle_alpha 90.00
_cell_angle_beta 90.00
_cell_angle_gamma 90.00
_symmetry_space_group_name_H-M 'P 4/m m m'
_symmetry_Int_Tables_number 123
_symmetry_space_group_name_Hall '-P 4 2'
loop_
_atom_site_label
_atom_site_type_symbol
_atom_site_fract_x
_atom_site_fract_y
_atom_site_fract_z
_atom_site_occupancy
Fe1 Fe 0.000 0.000 0.000 1
Re1 Re 0.000 0.000 0.500 1
Ge1 Ge 0.500 0.500 0.000 1
W1 W 0.000 0.500 0.500 1

***

# PBE TbEr2Zn3, optimized geometry
# - formation enthalpy at 0 K (kJ/mol of atoms) = -33.1
data_TbEr2Zn3
_chemical_formula_sum 'Tb1 Er2 Zn3'
_cell_length_a 3.556
_cell_length_b 3.556
_cell_length_c 10.651
_cell_angle_alpha 90.00
_cell_angle_beta 90.00
_cell_angle_gamma 90.00
_symmetry_space_group_name_H-M 'P 4/m m m'
_symmetry_Int_Tables_number 123
_symmetry_space_group_name_Hall '-P 4 2'
loop_
_atom_site_label
_atom_site_type_symbol
_atom_site_fract_x
_atom_site_fract_y
_atom_site_fract_z
_atom_site_occupancy
Tb1 Tb 0.000 0.000 0.000 1
Er1 Er 0.000 0.000 0.335 1
Zn1 Zn 0.500 0.500 0.171 1
Zn2 Zn 0.500 0.500 0.500 1

***

VASP calculation (PBE) on crystalline Tb4Pr2Hg3O2 at its relaxed geometry.

CIF file:
```
data_Tb4Pr2Hg3O2
_chemical_formula_sum 'Tb8 Pr4 Hg6 O4'
_cell_length_a 4.808
_cell_length_b 4.808
_cell_length_c 23.734
_cell_angle_alpha 90.00
_cell_angle_beta 90.00
_cell_angle_gamma 90.00
_symmetry_space_group_name_H-M 'I 4/m m m'
_symmetry_Int_Tables_number 139
_symmetry_space_group_name_Hall '-I 4 2'
loop_
_atom_site_label
_atom_site_type_symbol
_atom_site_fract_x
_atom_site_fract_y
_atom_site_fract_z
_atom_site_occupancy
Tb1 Tb 0.000 0.500 0.083 1
Pr1 Pr 0.000 0.000 0.201 1
Hg1 Hg 0.000 0.000 0.331 1
Hg2 Hg 0.000 0.000 0.500 1
O1 O 0.000 0.000 0.097 1
```

***

# PBE Sc2Cd2Ag3, optimized geometry
# - formation enthalpy at 0 K (kJ/mol of atoms) = -19.9
data_Sc2Cd2Ag3
_chemical_formula_sum 'Sc6 Cd6 Ag9'
_cell_length_a 4.8351
_cell_length_b 4.8351
_cell_length_c 20.7975
_cell_angle_alpha 90.00
_cell_angle_beta 90.00
_cell_angle_gamma 120.00
_symmetry_space_group_name_H-M 'R -3 m'
_symmetry_Int_Tables_number 166
_symmetry_space_group_name_Hall '-R 3 2"'
loop_
_atom_site_label
_atom_site_type_symbol
_atom_site_fract_x
_atom_site_fract_y
_atom_site_fract_z
_atom_site_occupancy
Sc1 Sc 0.0000 0.0000 0.2160 1
Cd1 Cd 0.0000 0.0000 0.3637 1
Ag1 Ag 0.0000 0.0000 0.0732 1
Ag2 Ag 0.0000 0.0000 0.5000 1

***

# PBE Pm12Dy7Pu, optimized geometry
# - formation enthalpy at 0 K (kJ/mol of atoms) = 22.5
data_Pm12Dy7Pu
_chemical_formula_sum 'Pm36 Dy21 Pu3'
_cell_length_a 19.5640
_cell_length_b 19.5640
_cell_length_c 6.1663
_cell_angle_alpha 90.00
_cell_angle_beta 90.00
_cell_angle_gamma 120.00
_symmetry_space_group_name_H-M 'R -3 m'
_symmetry_Int_Tables_number 166
_symmetry_space_group_name_Hall '-R 3 2"'
loop_
_atom_site_label
_atom_site_type_symbol
_atom_site_fract_x
_atom_site_fract_y
_atom_site_fract_z
_atom_site_occupancy
Pm1 Pm 0.0000 0.4132 0.0000 1
Pm2 Pm 0.0973 0.5486 0.4761 1
Dy1 Dy 0.0000 0.0000 0.0000 1
Dy2 Dy 0.0802 0.1604 0.3024 1
Pu1 Pu 0.0000 0.0000 0.5000 1

***

VASP calculation (PBE) on crystalline SnPt3Cl at its relaxed geometry.

CIF file:
```
data_SnPt3Cl
_chemical_formula_sum 'Sn1 Pt3 Cl1'
_cell_length_a 4.676
_cell_length_b 4.676
_cell_length_c 4.676
_cell_angle_alpha 90.00
_cell_angle_beta 90.00
_cell_angle_gamma 90.00
_symmetry_space_group_name_H-M 'P m -3 m'
_symmetry_Int_Tables_number 221
_symmetry_space_group_name_Hall '-P 4 2 3'
loop_
_atom_site_label
_atom_site_type_symbol
_atom_site_fract_x
_atom_site_fract_y
_atom_site_fract_z
_atom_site_occupancy
Sn1 Sn 0.000 0.000 0.000 1
Pt1 Pt 0.000 0.500 0.500 1
Cl1 Cl 0.500 0.500 0.500 1
```

***

# PBE MnInW2, optimized geometry
# - formation enthalpy at 0 K (kJ/mol of atoms) = 42.7
data_MnInW2
_chemical_formula_sum 'Mn2 In2 W4'
_cell_length_a 3.349
_cell_length_b 4.550
_cell_length_c 8.653
_cell_angle_alpha 90.00
_cell_angle_beta 90.00
_cell_angle_gamma 90.00
_symmetry_space_group_name_H-M 'I m m 2'
_symmetry_Int_Tables_number 44
loop_
_symmetry_equiv_pos_as_xyz
'x,y,z'
'-x,-y,z'
'-x,y,z'
'x,-y,z'
'x+1/2,y+1/2,z+1/2'
'-x+1/2,-y+1/2,z+1/2'
'-x+1/2,y+1/2,z+1/2'
'x+1/2,-y+1/2,z+1/2'
loop_
_atom_site_label
_atom_site_type_symbol
_atom_site_fract_x
_atom_site_fract_y
_atom_site_fract_z
_atom_site_occupancy
Mn1 Mn 0.000 0.000 0.000 1
In1 In 0.000 0.500 0.245 1
W1 W 0.000 0.000 0.472 1
W2 W 0.000 0.500 0.737 1

***

VASP calculation (PBE) on crystalline Zr2SiPb at its relaxed geometry.

CIF file:
```
data_Zr2SiPb
_chemical_formula_sum 'Zr8 Si4 Pb4'
_cell_length_a 7.045
_cell_length_b 7.045
_cell_length_c 7.045
_cell_angle_alpha 90.00
_cell_angle_beta 90.00
_cell_angle_gamma 90.00
_symmetry_space_group_name_H-M 'F -4 3 m'
_symmetry_Int_Tables_number 216
_symmetry_space_group_name_Hall 'F -4 2 3'
loop_
_atom_site_label
_atom_site_type_symbol
_atom_site_fract_x
_atom_site_fract_y
_atom_site_fract_z
_atom_site_occupancy
Zr1 Zr 0.000 0.000 0.000 1
Zr2 Zr 0.250 0.250 0.250 1
Si1 Si 0.000 0.000 0.500 1
Pb1 Pb 0.250 0.250 0.750 1
```

***

VASP calculation (PBE) on crystalline ErHOs at its relaxed geometry.

CIF file:
```
data_ErHOs
_chemical_formula_sum 'Er4 H4 Os4'
_cell_length_a 9.952
_cell_length_b 4.149
_cell_length_c 6.078
_cell_angle_alpha 90.00
_cell_angle_beta 124.07
_cell_angle_gamma 90.00
_symmetry_space_group_name_H-M 'C 1 2/m 1'
_symmetry_Int_Tables_number 12
loop_
_symmetry_equiv_pos_as_xyz
'x,y,z'
'-x,-y,-z'
'-x,y,-z'
'x,-y,z'
'x+1/2,y+1/2,z'
'-x+1/2,-y+1/2,-z'
'-x+1/2,y+1/2,-z'
'x+1/2,-y+1/2,z'
loop_
_atom_site_label
_atom_site_type_symbol
_atom_site_fract_x
_atom_site_fract_y
_atom_site_fract_z
_atom_site_occupancy
Er1 Er 0.000 0.000 0.000 1
Er2 Er 0.000 0.500 0.500 1
H1 H 0.170 0.000 0.553 1
Os1 Os 0.240 0.000 0.890 1
```

***

VASP calculation (PBE) on crystalline InP2Cl at its relaxed geometry.

CIF file:
```
data_InP2Cl
_chemical_formula_sum 'In2 P4 Cl2'
_cell_length_a 13.304
_cell_length_b 3.309
_cell_length_c 4.781
_cell_angle_alpha 90.00
_cell_angle_beta 101.18
_cell_angle_gamma 90.00
_symmetry_space_group_name_H-M 'C 1 2/m 1'
_symmetry_Int_Tables_number 12
loop_
_symmetry_equiv_pos_as_xyz
'x,y,z'
'-x,-y,-z'
'-x,y,-z'
'x,-y,z'
'x+1/2,y+1/2,z'
'-x+1/2,-y+1/2,-z'
'-x+1/2,y+1/2,-z'
'x+1/2,-y+1/2,z'
loop_
_atom_site_label
_atom_site_type_symbol
_atom_site_fract_x
_atom_site_fract_y
_atom_site_fract_z
_atom_site_occupancy
In1 In 0.000 0.000 0.000 1
P1 P 0.220 0.500 0.103 1
Cl1 Cl 0.000 0.500 0.500 1
```

***

# PBE BeReSnB2, optimized geometry
# - formation enthalpy at 0 K (kJ/mol of atoms) = 82.5
data_BeReSnB2
_chemical_formula_sum 'Be1 Re1 Sn1 B2'
_cell_length_a 4.186
_cell_length_b 4.186
_cell_length_c 4.420
_cell_angle_alpha 90.00
_cell_angle_beta 90.00
_cell_angle_gamma 90.00
_symmetry_space_group_name_H-M 'P 4/m m m'
_symmetry_Int_Tables_number 123
_symmetry_space_group_name_Hall '-P 4 2'
loop_
_atom_site_label
_atom_site_type_symbol
_atom_site_fract_x
_atom_site_fract_y
_atom_site_fract_z
_atom_site_occupancy
Be1 Be 0.000 0.000 0.000 1
Re1 Re 0.000 0.000 0.500 1
Sn1 Sn 0.500 0.500 0.000 1
B1 B 0.000 0.500 0.500 1

***

# PBE Tl2VGaNi, optimized geometry
# - formation enthalpy at 0 K (kJ/mol of atoms) = 100.1
data_Tl2VGaNi
_chemical_formula_sum 'Tl2 V1 Ga1 Ni1'
_cell_length_a 5.202
_cell_length_b 5.202
_cell_length_c 4.808
_cell_angle_alpha 90.00
_cell_angle_beta 90.00
_cell_angle_gamma 90.00
_symmetry_space_group_name_H-M 'P 4/m m m'
_symmetry_Int_Tables_number 123
_symmetry_space_group_name_Hall '-P 4 2'
loop_
_atom_site_label
_atom_site_type_symbol
_atom_site_fract_x
_atom_site_fract_y
_atom_site_fract_z
_atom_site_occupancy
Tl1 Tl 0.000 0.500 0.000 1
V1 V 0.000 0.000 0.000 1
Ga1 Ga 0.000 0.000 0.500 1
Ni1 Ni 0.500 0.500 0.500 1

***

# PBE AlAs2Ir, optimized geometry
# - formation enthalpy at 0 K (kJ/mol of atoms) = -14.0
data_AlAs2Ir
_chemical_formula_sum 'Al2 As4 Ir2'
_cell_length_a 7.997
_cell_length_b 2.960
_cell_length_c 6.538
_cell_angle_alpha 90.00
_cell_angle_beta 95.37
_cell_angle_gamma 90.00
_symmetry_space_group_name_H-M 'C 1 m 1'
_symmetry_Int_Tables_number 8
loop_
_symmetry_equiv_pos_as_xyz
'x,y,z'
'x,-y,z'
'x+1/2,y+1/2,z'
'x+1/2,-y+1/2,z'
loop_
_atom_site_label
_atom_site_type_symbol
_atom_site_fract_x
_atom_site_fract_y
_atom_site_fract_z
_atom_site_occupancy
Al1 Al 0.000 0.000 0.000 1
As1 As 0.301 0.000 0.194 1
As2 As 0.394 0.000 0.630 1
Ir1 Ir 0.195 0.500 0.803 1

***

# PBE Tl2In2Sn, optimized geometry
# - formation enthalpy at 0 K (kJ/mol of atoms) = 16.9
data_Tl2In2Sn
_chemical_formula_sum 'Tl4 In4 Sn2'
_cell_length_a 4.459
_cell_length_b 4.459
_cell_length_c 15.478
_cell_angle_alpha 90.00
_cell_angle_beta 90.00
_cell_angle_gamma 90.00
_symmetry_space_group_name_H-M 'I 4/m m m'
_symmetry_Int_Tables_number 139
_symmetry_space_group_name_Hall '-I 4 2'
loop_
_atom_site_label
_atom_site_type_symbol
_atom_site_fract_x
_atom_site_fract_y
_atom_site_fract_z
_atom_site_occupancy
Tl1 Tl 0.000 0.500 0.250 1
In1 In 0.000 0.000 0.094 1
Sn1 Sn 0.000 0.000 0.500 1

***

# PBE Os2RuPb, optimized geometry
# - formation enthalpy at 0 K (kJ/mol of atoms) = 79.8
data_Os2RuPb
_chemical_formula_sum 'Os4 Ru2 Pb2'
_cell_length_a 3.977
_cell_length_b 3.977
_cell_length_c 8.182
_cell_angle_alpha 90.00
_cell_angle_beta 90.00
_cell_angle_gamma 90.00
_symmetry_space_group_name_H-M 'I 4/m m m'
_symmetry_Int_Tables_number 139
_symmetry_space_group_name_Hall '-I 4 2'
loop_
_atom_site_label
_atom_site_type_symbol
_atom_site_fract_x
_atom_site_fract_y
_atom_site_fract_z
_atom_site_occupancy
Os1 Os 0.000 0.500 0.250 1
Ru1 Ru 0.000 0.000 0.000 1
Pb1 Pb 0.000 0.000 0.500 1

***

# PBE KCu, optimized geometry
# - formation enthalpy at 0 K (kJ/mol of atoms) = 35.6
data_KCu
_chemical_formula_sum 'K6 Cu6'
_cell_length_a 9.2421
_cell_length_b 9.2421
_cell_length_c 5.4059
_cell_angle_alpha 90.00
_cell_angle_beta 90.00
_cell_angle_gamma 120.00
_symmetry_space_group_name_H-M 'P 63/m m c'
_symmetry_Int_Tables_number 194
_symmetry_space_group_name_Hall '-P 6c 2c'
loop_
_atom_site_label
_atom_site_type_symbol
_atom_site_fract_x
_atom_site_fract_y
_atom_site_fract_z
_atom_site_occupancy
K1 K 0.1898 0.3795 0.2500 1
Cu1 Cu 0.1568 0.5784 0.7500 1

***

VASP calculation (PBE) on crystalline K5Ba3Cl12 at its relaxed geometry.

CIF file:
```
data_K5Ba3Cl12
_chemical_formula_sum 'K40 Ba24 Cl96'
_cell_length_a 18.121
_cell_length_b 18.121
_cell_length_c 18.121
_cell_angle_alpha 90.00
_cell_angle_beta 90.00
_cell_angle_gamma 90.00
_symmetry_space_group_name_H-M 'I a -3 d'
_symmetry_Int_Tables_number 230
_symmetry_space_group_name_Hall '-I 4bd 2c 3'
loop_
_atom_site_label
_atom_site_type_symbol
_atom_site_fract_x
_atom_site_fract_y
_atom_site_fract_z
_atom_site_occupancy
K1 K 0.000 0.000 0.000 1
K2 K 0.000 0.250 0.375 1
Ba1 Ba 0.000 0.250 0.125 1
Cl1 Cl 0.016 0.075 0.656 1
```

***

# PBE SmIn4Pd2, optimized geometry
# - formation enthalpy at 0 K (kJ/mol of atoms) = -54.1
data_SmIn4Pd2
_chemical_formula_sum 'Sm4 In16 Pd8'
_cell_length_a 18.623
_cell_length_b 4.595
_cell_length_c 7.211
_cell_angle_alpha 90.00
_cell_angle_beta 90.00
_cell_angle_gamma 90.00
_symmetry_space_group_name_H-M 'P n m a'
_symmetry_Int_Tables_number 62
loop_
_symmetry_equiv_pos_as_xyz
'x,y,z'
'-x,-y,-z'
'-x+1/2,-y,z+1/2'
'x+1/2,y,-z+1/2'
'x+1/2,-y+1/2,-z+1/2'
'-x+1/2,y+1/2,z+1/2'
'-x,y+1/2,-z'
'x,-y+1/2,z'
loop_
_atom_site_label
_atom_site_type_symbol
_atom_site_fract_x
_atom_site_fract_y
_atom_site_fract_z
_atom_site_occupancy
Sm1 Sm 0.142 0.250 0.020 1
In1 In 0.034 0.750 0.851 1
In2 In 0.070 0.250 0.496 1
In3 In 0.186 0.750 0.319 1
In4 In 0.192 0.750 0.733 1
Pd1 Pd 0.040 0.750 0.245 1
Pd2 Pd 0.217 0.250 0.529 1

***

| no. | DFT total energy (eV/cell) |
| --- | --- |
| 1 | -173.6 |
| 2 | -42.0 |
| 3 | -19.6 |
| 4 | -105.7 |
| 5 | -73.5 |
| 6 | -296.7 |
| 7 | -20.2 |
| 8 | -72.1 |
| 9 | -100.1 |
| 10 | -78.6 |
| 11 | -31.6 |
| 12 | -29.3 |
| 13 | -17.5 |
| 14 | -45.0 |
| 15 | -26.7 |
| 16 | -64.3 |
| 17 | -26.7 |
| 18 | -587.2 |
| 19 | -119.9 |